{"formula": "CeSbRh", "functional": "meta-GGA SCAN", "state": "PBEsol geometry", "lattice_angstrom": [[-0.662, -3.022, -3.385], [-3.915, -4.089, 4.416], [-6.381, 3.796, -2.141]], "species": ["Ce", "Ce", "Ce", "Ce", "Sb", "Sb", "Sb", "Sb", "Rh", "Rh", "Rh", "Rh"], "frac_coords": [[0.750, 0.486, 0.197], [0.250, 0.514, 0.803], [0.750, 0.986, 0.303], [0.250, 0.014, 0.697], [0.750, 0.817, 0.909], [0.250, 0.683, 0.409], [0.750, 0.317, 0.591], [0.250, 0.183, 0.091], [0.250, 0.784, 0.077], [0.750, 0.716, 0.577], [0.250, 0.284, 0.423], [0.750, 0.216, 0.923]], "raw_formation_energy_ev_per_fu": -3.32, "dos_at_fermi_per_ev_atom": 0.9930, "spacegroup": "Pnma"}



{"formula": "Ca2Ga2SiH2O8", "functional": "meta-GGA SCAN", "state": "PBEsol geometry", "lattice_angstrom": [[7.666, 0.004, 0.000], [-2.582, 7.289, -0.011], [-2.507, -3.650, 6.339]], "species": ["Ca", "Ca", "Ca", "Ca", "Ga", "Ga", "Ga", "Ga", "Si", "Si", "H", "H", "H", "H", "O", "O", "O", "O", "O", "O", "O", "O", "O", "O", "O", "O", "O", "O", "O", "O"], "frac_coords": [[0.006, 0.718, 0.987], [0.977, 0.000, 0.717], [0.727, 0.998, 0.024], [0.285, 0.278, 0.269], [0.240, 0.477, 0.736], [0.762, 0.521, 0.258], [0.509, 0.245, 0.759], [0.262, 0.753, 0.513], [0.734, 0.245, 0.486], [0.487, 0.753, 0.240], [0.047, 0.989, 0.366], [0.329, 0.999, 0.933], [0.951, 0.339, 0.011], [0.611, 0.659, 0.669], [0.995, 0.234, 0.011], [0.698, 0.999, 0.412], [0.553, 0.584, 0.283], [0.967, 0.412, 0.697], [0.432, 0.720, 0.004], [0.713, 0.279, 0.284], [0.224, 0.999, 0.979], [0.754, 0.461, 0.005], [0.016, 0.997, 0.236], [0.262, 0.248, 0.723], [0.013, 0.752, 0.472], [0.477, 0.999, 0.756], [0.291, 0.537, 0.543], [0.549, 0.263, 0.537], [0.285, 0.735, 0.273], [0.760, 0.764, 0.775]], "relative_energy_ev_per_atom": 0.013, "dos_at_fermi_per_ev_atom": 0.0000, "spacegroup": "P1"}



{"formula": "CsYIN2", "functional": "meta-GGA SCAN", "state": "PBEsol geometry", "lattice_angstrom": [[4.788, 0.000, 0.000], [0.000, 4.788, 0.000], [0.000, 0.000, 6.054]], "species": ["Cs", "I", "Y", "N", "N"], "frac_coords": [[0.500, 0.500, 0.500], [0.000, 0.000, 0.500], [0.000, 0.000, 0.000], [0.000, 0.500, 0.000], [0.500, 0.000, 0.000]], "raw_formation_energy_ev_per_fu": -0.43, "dos_at_fermi_per_ev_atom": 0.3562, "spacegroup": "P4/mmm"}



{"formula": "FeAsIr2", "functional": "meta-GGA SCAN", "state": "PBEsol geometry", "lattice_angstrom": [[-2.609, -0.987, 0.555], [1.387, -2.912, 1.339], [0.165, 2.392, 5.030]], "species": ["As", "Fe", "Ir", "Ir"], "frac_coords": [[0.500, 0.500, 0.000], [0.500, 0.500, 0.500], [0.000, 0.000, 0.739], [0.000, 0.000, 0.261]], "dos_at_fermi_per_ev_atom": 0.5924, "e_form_mev_per_atom": -2.8, "spacegroup": "Pmmm"}



{"formula": "BaIn", "functional": "meta-GGA SCAN", "state": "PBEsol geometry", "lattice_angstrom": [[4.107, 0.000, 0.000], [0.000, 5.815, 0.000], [-2.053, -2.907, 5.921]], "species": ["Ba", "Ba", "In", "In"], "frac_coords": [[0.403, 0.653, 0.806], [0.597, 0.347, 0.194], [0.838, 0.088, 0.676], [0.162, 0.912, 0.324]], "dos_at_fermi_per_ev_atom": 0.6726, "e_form_mev_per_atom": -521.3, "spacegroup": "Imma"}



{"formula": "BaCoNi2", "functional": "meta-GGA SCAN", "state": "PBEsol geometry", "lattice_angstrom": [[3.933, 0.000, 0.000], [0.000, 4.047, 0.000], [0.000, 0.000, 4.048]], "species": ["Ba", "Co", "Ni", "Ni"], "frac_coords": [[0.500, 0.000, 0.500], [0.500, 0.500, 0.000], [0.000, 0.000, 0.000], [0.000, 0.500, 0.500]], "dos_at_fermi_per_ev_atom": 0.6301, "e_form_mev_per_atom": 890.5, "spacegroup": "P4/mmm"}



{"formula": "Zr3Ag", "functional": "meta-GGA SCAN", "state": "PBEsol geometry", "lattice_angstrom": [[-0.543, 2.315, 3.529], [2.643, -2.588, 2.104], [2.425, 2.736, -3.986]], "species": ["Zr", "Zr", "Zr", "Ag"], "frac_coords": [[0.750, 0.250, 0.500], [0.500, 0.500, 0.000], [0.250, 0.750, 0.500], [0.000, 0.000, 0.000]], "dos_at_fermi_per_ev_atom": 1.2149, "e_form_mev_per_atom": 3.8, "spacegroup": "I4/mmm"}



{"formula": "Rb2MgH12Se2O14", "functional": "meta-GGA SCAN", "state": "PBEsol geometry", "lattice_angstrom": [[-1.889, 1.240, -5.915], [7.658, -5.130, -1.053], [-6.931, -10.356, 0.043]], "species": ["Rb", "Rb", "Rb", "Rb", "Mg", "Mg", "H", "H", "H", "H", "H", "H", "H", "H", "H", "H", "H", "H", "H", "H", "H", "H", "H", "H", "H", "H", "H", "H", "H", "H", "Se", "Se", "Se", "Se", "O", "O", "O", "O", "O", "O", "O", "O", "O", "O", "O", "O", "O", "O", "O", "O", "O", "O", "O", "O", "O", "O", "O", "O", "O", "O", "O", "O"], "frac_coords": [[0.332, 0.132, 0.657], [0.668, 0.368, 0.157], [0.332, 0.632, 0.843], [0.668, 0.868, 0.343], [0.000, 0.000, 0.000], [0.000, 0.500, 0.500], [0.660, 0.105, 0.942], [0.334, 0.027, 0.140], [0.011, 0.150, 0.187], [0.918, 0.228, 0.595], [0.911, 0.259, 0.373], [0.318, 0.210, 0.911], [0.682, 0.290, 0.411], [0.089, 0.241, 0.873], [0.082, 0.272, 0.095], [0.989, 0.350, 0.687], [0.666, 0.473, 0.640], [0.340, 0.395, 0.442], [0.660, 0.605, 0.558], [0.334, 0.527, 0.360], [0.011, 0.650, 0.313], [0.918, 0.728, 0.905], [0.911, 0.759, 0.127], [0.318, 0.710, 0.589], [0.682, 0.790, 0.089], [0.089, 0.741, 0.627], [0.082, 0.772, 0.405], [0.989, 0.850, 0.813], [0.666, 0.973, 0.860], [0.340, 0.895, 0.058], [0.274, 0.096, 0.362], [0.726, 0.404, 0.862], [0.274, 0.596, 0.138], [0.726, 0.904, 0.638], [0.711, 0.012, 0.934], [0.771, 0.059, 0.566], [0.985, 0.171, 0.110], [0.434, 0.086, 0.257], [0.040, 0.129, 0.320], [0.164, 0.161, 0.890], [0.411, 0.236, 0.440], [0.589, 0.264, 0.940], [0.836, 0.339, 0.390], [0.960, 0.371, 0.820], [0.566, 0.414, 0.757], [0.015, 0.329, 0.610], [0.711, 0.512, 0.566], [0.229, 0.441, 0.066], [0.771, 0.559, 0.934], [0.289, 0.488, 0.434], [0.985, 0.671, 0.390], [0.434, 0.586, 0.243], [0.040, 0.629, 0.180], [0.164, 0.661, 0.610], [0.411, 0.736, 0.060], [0.589, 0.764, 0.560], [0.836, 0.839, 0.110], [0.960, 0.871, 0.680], [0.566, 0.914, 0.743], [0.015, 0.829, 0.890], [0.229, 0.941, 0.434], [0.289, 0.988, 0.066]], "dos_at_fermi_per_ev_atom": 0.0000, "spacegroup": "P2_1/c"}



{"formula": "CdFe3", "functional": "meta-GGA SCAN", "state": "PBEsol geometry", "lattice_angstrom": [[-1.057, -0.512, -2.307], [0.266, -1.889, 1.749], [-7.527, 1.769, 3.055]], "species": ["Cd", "Fe", "Fe", "Fe"], "frac_coords": [[0.000, 0.000, 0.000], [0.000, 0.000, 0.500], [0.667, 0.333, 0.716], [0.667, 0.333, 0.284]], "dos_at_fermi_per_ev_atom": 1.1284, "e_form_mev_per_atom": 582.3, "spacegroup": "P-6m2"}



{"formula": "Ba2LiHg", "functional": "meta-GGA SCAN", "state": "PBEsol geometry", "lattice_angstrom": [[-4.644, -0.334, 0.479], [-0.170, -3.348, -3.980], [3.066, -4.541, 3.689]], "species": ["Ba", "Ba", "Hg", "Li"], "frac_coords": [[0.980, 0.000, 0.961], [0.269, 0.500, 0.537], [0.685, 0.000, 0.369], [0.570, 0.500, 0.140]], "dos_at_fermi_per_ev_atom": 0.7808, "e_form_mev_per_atom": -349.7, "spacegroup": "Amm2"}



These records have calculated total energy values of -118.92; -155.88; -121.41; -180.53; -73.98; -85.64; -123.45; -255.57; -82.47; -151.05 eV per formula unit, in the order they appear.